No. 1
Below is an optimized crystal structure of CuSe2, with properties calculated at the PBE level.

```
data_CuSe2
_symmetry_space_group_name_H-M 'P 63/m m c'
_symmetry_Int_Tables_number 194
_symmetry_space_group_name_Hall '-P 6c 2c'
_cell_length_a 5.3407
_cell_length_b 5.3407
_cell_length_c 11.9607
_cell_angle_alpha 90.00
_cell_angle_beta 90.00
_cell_angle_gamma 120.00
loop_
_atom_site_label
_atom_site_type_symbol
_atom_site_fract_x
_atom_site_fract_y
_atom_site_fract_z
Cu1 Cu 0.3333 0.6667 0.0836
Se1 Se 0.0000 0.0000 0.0000
Se2 Se 0.1642 0.3284 0.2500
```

Properties
Total moment ... 0.00 μB/f.u.
V ... 295.4 Å³/cell
E_tot ... -37.3 eV per cell
Formation energy without anion corrections ... 0.5813 eV per atom

=====

No. 2
Below is an optimized crystal structure of Cu6Se, with properties calculated at the PBE level.

```
data_Cu6Se
_symmetry_space_group_name_H-M 'I m -3 m'
_symmetry_Int_Tables_number 229
_symmetry_space_group_name_Hall '-I 4 2 3'
_cell_length_a 6.4515
_cell_length_b 6.4515
_cell_length_c 6.4515
_cell_angle_alpha 90.00
_cell_angle_beta 90.00
_cell_angle_gamma 90.00
loop_
_atom_site_label
_atom_site_type_symbol
_atom_site_fract_x
_atom_site_fract_y
_atom_site_fract_z
Cu1 Cu 0.0000 0.2500 0.5000
Se1 Se 0.0000 0.0000 0.0000
```

Properties
Total moment ... 0.00 μB/f.u.
V ... 268.5 Å³/cell
E_tot ... -43.1 eV per cell
Formation energy without anion corrections ... 0.9311 eV per atom

=====

No. 3
Below is an optimized crystal structure of CuSe, with properties calculated at the PBE level.

```
data_CuSe
_symmetry_space_group_name_H-M 'P -6 2 m'
_symmetry_Int_Tables_number 189
_symmetry_space_group_name_Hall 'P -6 -2'
_cell_length_a 6.6789
_cell_length_b 6.6789
_cell_length_c 2.8825
_cell_angle_alpha 90.00
_cell_angle_beta 90.00
_cell_angle_gamma 120.00
loop_
_atom_site_label
_atom_site_type_symbol
_atom_site_fract_x
_atom_site_fract_y
_atom_site_fract_z
Cu1 Cu 0.0000 0.3609 0.0000
Se1 Se 0.0000 0.0000 0.0000
Se2 Se 0.3333 0.6667 0.5000
```

Properties
Total moment ... 0.00 μB/f.u.
V ... 111.4 Å³/cell
E_tot ... -22.9 eV per cell
Formation energy without anion corrections ... -0.0314 eV per atom

=====

No. 4
Below is an optimized crystal structure of CuSe3, with properties calculated at the PBE level.

```
data_CuSe3
_symmetry_space_group_name_H-M 'P 4/m m m'
_symmetry_Int_Tables_number 123
_symmetry_space_group_name_Hall '-P 4 2'
_cell_length_a 2.7587
_cell_length_b 2.7587
_cell_length_c 11.7595
_cell_angle_alpha 90.00
_cell_angle_beta 90.00
_cell_angle_gamma 90.00
loop_
_atom_site_label
_atom_site_type_symbol
_atom_site_fract_x
_atom_site_fract_y
_atom_site_fract_z
Cu1 Cu 0.0000 0.0000 0.0000
Se1 Se 0.0000 0.0000 0.5000
Se2 Se 0.5000 0.5000 0.1693
```

Properties
Total moment ... 0.00 μB/f.u.
V ... 89.5 Å³/cell
E_tot ... -13.5 eV per cell
Formation energy without anion corrections ... 0.2530 eV per atom